[1]
Density functional theory data (GGA-PBEsol) for a geometry-optimized Y3TeMo structure.

Values from the calculation:
Formation energy without anion corrections, eV/atom: 0.75
VASP energy, eV per atom: -6.40
Crystal system: cubic

Cell lengths 5.515, 5.515, 5.515 Å; angles 90.00, 90.00, 90.00 degrees
Last column: magnetic moment on the atom in μB.
Atoms (fractional coordinates):
Y (0.500, 0.000, 0.000)  -0.25
Te (0.000, 0.000, 0.000)  -0.01
Y (0.000, 0.500, 0.000)  -0.25
Y (0.000, 0.000, 0.500)  -0.25
Mo (0.500, 0.500, 0.500)  3.17

---

[2]
Density functional theory data (GGA-PBEsol) for a geometry-optimized Ba2SrCa structure.

Values from the calculation:
Formation energy from the elements, eV/atom: 0.033
VASP energy, eV per atom: -2.04
Relative energy among the computed polymorphs, eV per formula unit: 0.07
Crystal system: trigonal

Cell lengths 4.171, 4.171, 14.018 Å; angles 81.44, 81.44, 60.00 degrees
Atoms (fractional coordinates):
Ca (0.500, 0.500, 0.500)
Ba (0.753, 0.753, 0.742)
Ba (0.247, 0.247, 0.258)
Sr (0.000, 0.000, 0.000)

---

[3]
Density functional theory data (GGA-PBEsol) for a geometry-optimized Os2Ru structure.

Values from the calculation:
Formation energy from the elements, eV/atom: -0.014
VASP energy, eV per atom: -11.55
Relative energy among the computed polymorphs, eV per formula unit: 0.00
Crystal system: orthorhombic

Cell lengths 4.295, 4.702, 4.702 Å; angles 60.04, 90.00, 90.00 degrees
Atoms (fractional coordinates):
Os (0.750, 0.500, 0.167)
Os (0.250, 0.167, 0.500)
Os (0.250, 0.500, 0.833)
Ru (0.250, 0.834, 0.166)
Os (0.750, 0.833, 0.500)
Ru (0.750, 0.166, 0.834)

---

[4]
Density functional theory data (GGA-PBEsol) for a geometry-optimized CsTi2Cl7 structure.

Values from the calculation:
Formation energy without anion corrections, eV/atom: -1.70
VASP energy, eV per atom: -4.86
Relative energy among the computed polymorphs, eV per formula unit: 0.21
Crystal system: monoclinic

Cell lengths 5.961, 7.133, 11.755 Å; angles 92.13, 90.00, 90.00 degrees
Last column: magnetic moment on the atom in μB.
Atoms (fractional coordinates):
Cl (0.096, 0.654, 0.122)  -0.01
Ti (0.776, 0.936, 0.563)  0.87
Cl (0.422, 0.217, 0.997)  -0.01
Cl (0.578, 0.217, 0.497)  -0.01
Cl (0.405, 0.000, 0.250)  -0.01
Cl (0.578, 0.783, 0.003)  -0.01
Cl (0.084, 0.879, 0.875)  -0.01
Ti (0.224, 0.936, 0.063)  0.87
Ti (0.224, 0.064, 0.437)  0.87
Cl (0.084, 0.121, 0.625)  -0.01
Cl (0.916, 0.121, 0.125)  -0.01
Cl (0.916, 0.879, 0.375)  -0.01
Cs (0.590, 0.500, 0.250)  0.00
Cl (0.904, 0.654, 0.622)  -0.01
Cl (0.595, 0.000, 0.750)  -0.01
Cl (0.096, 0.346, 0.378)  -0.01
Cl (0.904, 0.346, 0.878)  -0.01
Cl (0.422, 0.783, 0.503)  -0.01
Cs (0.410, 0.500, 0.750)  0.00
Ti (0.776, 0.064, 0.937)  0.87

---

[5]
Density functional theory data (GGA-PBEsol) for a geometry-optimized BaTeIN2 structure.

Values from the calculation:
Formation energy without anion corrections, eV/atom: 1.36
VASP energy, eV per atom: -3.54
Crystal system: tetragonal

Cell lengths 5.024, 5.024, 6.870 Å; angles 90.00, 90.00, 90.00 degrees
Last column: magnetic moment on the atom in μB.
Atoms (fractional coordinates):
N (0.500, 0.000, 0.000)  1.43
Te (0.500, 0.500, 0.500)  0.22
Ba (0.000, 0.000, 0.000)  0.11
I (0.000, 0.000, 0.500)  0.02
N (0.000, 0.500, 0.000)  1.43

---

[6]
Density functional theory data (GGA-PBEsol) for a geometry-optimized ZnSbH2F structure.

Values from the calculation:
VASP energy, eV per atom: -2.60
Crystal system: tetragonal

Cell lengths 3.699, 4.174, 4.174 Å; angles 90.00, 90.00, 90.00 degrees
Atoms (fractional coordinates):
H (0.000, 0.000, 0.500)
Zn (0.500, 0.000, 0.000)
H (0.000, 0.500, 0.000)
F (0.000, 0.000, 0.000)
Sb (0.500, 0.500, 0.500)

---

[7]
Density functional theory data (GGA-PBEsol) for a geometry-optimized BaWN3 structure.

Values from the calculation:
Formation energy without anion corrections, eV/atom: -0.72
VASP energy, eV per atom: -9.03
Crystal system: monoclinic

Cell lengths 3.895, 6.479, 7.166 Å; angles 104.88, 105.77, 90.00 degrees
Atoms (fractional coordinates):
N (0.146, 0.595, 0.291)
Ba (0.395, 0.688, 0.789)
W (0.839, 0.122, 0.679)
N (0.310, 0.025, 0.619)
N (0.854, 0.405, 0.709)
N (0.035, 0.947, 0.069)
N (0.690, 0.975, 0.381)
N (0.965, 0.053, 0.931)
W (0.161, 0.878, 0.321)
Ba (0.605, 0.312, 0.211)

---

[8]
Density functional theory data (GGA-PBEsol) for a geometry-optimized SrLa3Ru structure.

Values from the calculation:
Formation energy from the elements, eV/atom: -0.080
VASP energy, eV per atom: -5.69
Crystal system: cubic

Cell lengths 5.606, 5.606, 5.606 Å; angles 90.00, 90.00, 90.00 degrees
Atoms (fractional coordinates):
Sr (0.500, 0.500, 0.500)
Ru (0.000, 0.000, 0.000)
La (0.000, 0.500, 0.000)
La (0.500, 0.000, 0.000)
La (0.000, 0.000, 0.500)

---

| no. | theoretical density (g cm⁻³) |
| --- | --- |
| 1 | 4.85 |
| 2 | 3.21 |
| 3 | 19.44 |
| 4 | 3.17 |
| 5 | 4.02 |
| 6 | 5.36 |
| 7 | 7.19 |
| 8 | 5.71 |